No. 1
Computed, not measured: crystalline UAl8Cu4 at its relaxed geometry at the GGA-PBE level of DFT.

The raw total energy comes out at -4.462 eV per atom. The formation energy from the elements comes out at -0.03 eV/atom. For the density of states at the Fermi level, the calculation gives 0.7037 states/eV per atom. Its energy above the most stable polymorph in this dataset is 182 meV/atom.

It has space group I4/mmm (No. 139), with a = 8.7710 Å, b = 8.7710 Å, c = 5.3772 Å, α = 90.00°, β = 90.00° and γ = 90.00°. Symmetry generates all atoms from U at (0.0000, 0.0000, 0.0000), Al at (0.0000, 0.2263, 0.5000), Al at (0.2500, 0.2500, 0.2500) and Cu at (0.0000, 0.3501, 0.0000).


No. 2
Computed, not measured: crystalline UAl7Cu5 at its relaxed geometry at the GGA-PBE level of DFT.

The raw total energy comes out at -4.688 eV per atom. The formation energy from the elements comes out at -0.23 eV/atom. For the density of states at the Fermi level, the calculation gives 0.7326 states/eV per atom.

It has space group Imm2 (No. 44), with a = 5.0858 Å, b = 8.8048 Å, c = 8.7215 Å, α = 90.00°, β = 90.00° and γ = 90.00°. Symmetry generates all atoms from U at (0.0000, 0.0000, 0.0000), Al at (0.0000, 0.0000, 0.3454), Al at (0.0000, 0.0000, 0.6513), Al at (0.0000, 0.2930, 0.5074), Al at (0.0000, 0.3469, 0.9939), Al at (0.0000, 0.5000, 0.2773), Cu at (0.0000, 0.5000, 0.7282) and Cu at (0.2486, 0.2521, 0.2521).